A.
First-principles (GGA-PBE) data for a relaxed structure of Cr2HIr2, as listed in Alexandria.

Unit cell a=7.2338 b=7.2338 c=2.6603 alpha=90.00 beta=90.00 gamma=90.00
Atoms (fractional coordinates):
Cr1 0.1582 0.6582 0.5000
Cr2 0.6582 0.8418 0.5000
Cr3 0.8418 0.3418 0.5000
Cr4 0.3418 0.1582 0.5000
Ir1 0.3643 0.8643 0.0000
Ir2 0.8643 0.6357 0.0000
Ir3 0.6357 0.1357 0.0000
Ir4 0.1357 0.3643 0.0000
H1 0.0000 0.0000 0.0000
H2 0.5000 0.5000 0.0000

Summary:
Theoretical density, Mg/m³: 11.68
N(E_F), states/eV/f.u.: 4.95

B.
First-principles (GGA-PBE) data for a relaxed structure of Cr2HIr2, as listed in Alexandria.

Unit cell a=3.0723 b=3.0723 c=7.0389 alpha=77.39 beta=77.39 gamma=90.00
Atoms (fractional coordinates):
Cr1 0.7500 0.2500 0.5000
Cr2 0.2500 0.7500 0.5000
Ir1 0.4030 0.4030 0.1940
Ir2 0.5970 0.5970 0.8060
H1 0.0000 0.0000 0.0000

Summary:
Theoretical density, Mg/m³: 12.86
N(E_F), states/eV/f.u.: 3.31

Here is how they stack up, most stable first: A, B.